The following is a PBE calculation of a geometry-optimized CaHAu2 structure, from the Alexandria database.

```
data_CaHAu2
_chemical_formula_sum 'Ca4 H4 Au8'
_symmetry_space_group_name_H-M 'F m -3 m'
_symmetry_Int_Tables_number 225
_symmetry_space_group_name_Hall '-F 4 2 3'
_cell_length_a 6.767
_cell_length_b 6.767
_cell_length_c 6.767
_cell_angle_alpha 90.00
_cell_angle_beta 90.00
_cell_angle_gamma 90.00
loop_
_atom_site_label
_atom_site_type_symbol
_atom_site_fract_x
_atom_site_fract_y
_atom_site_fract_z
Ca1 Ca 0.000 0.000 0.000
H1 H 0.000 0.000 0.500
Au1 Au 0.250 0.250 0.250
```

Values from the calculation:
- Electronic total energy: -46.085 eV per cell